# NdDy4Ho2

A relaxed structure of NdDy4Ho2 (PBE-GGA, the Alexandria database).

Properties
* formation enthalpy at 0 K: 0.03 eV per atom

Unit cell a=8.512 b=8.512 c=8.740 alpha=118.61 beta=118.61 gamma=23.91
Fractional positions:
Nd: 0.000 0.000 0.000
Dy: 0.295 0.295 0.706
Dy: 0.359 0.359 0.167
Dy: 0.641 0.641 0.833
Dy: 0.705 0.705 0.294
Ho: 0.070 0.070 0.430
Ho: 0.930 0.930 0.570